No. 1
# LaHfI2N PBE-GGA relaxed
# Polymorph energy (0 for the lowest one)   775 meV per atom
data_LaHfI2N
_cell_length_a 6.437
_cell_length_b 6.437
_cell_length_c 4.114
_cell_angle_alpha 90.00
_cell_angle_beta 90.00
_cell_angle_gamma 90.00
_space_group_name_H-M_alt 'P 4/m m m'
_space_group_IT_number 123
_space_group_name_Hall '-P 4 2'
loop_
_atom_site_label
_atom_site_fract_x
_atom_site_fract_y
_atom_site_fract_z
La1 0.000 0.000 0.000
Hf1 0.500 0.500 0.500
I1 0.000 0.500 0.000
N1 0.000 0.000 0.500

No. 2
# Nd2PaGa PBE-GGA relaxed
# Calculated formation energy   -0.022 eV per atom
data_Nd2PaGa
_cell_length_a 3.5300
_cell_length_b 3.5300
_cell_length_c 31.0192
_cell_angle_alpha 90.00
_cell_angle_beta 90.00
_cell_angle_gamma 120.00
_space_group_name_H-M_alt 'R -3 m'
_space_group_IT_number 166
_space_group_name_Hall '-R 3 2"'
loop_
_atom_site_label
_atom_site_fract_x
_atom_site_fract_y
_atom_site_fract_z
Nd1 0.0000 0.0000 0.2445
Pa1 0.0000 0.0000 0.0000
Ga1 0.0000 0.0000 0.5000

No. 3
# BPb2WS PBE-GGA relaxed
# VASP energy   -4.89 eV per atom
data_BPb2WS
_cell_length_a 5.397
_cell_length_b 5.397
_cell_length_c 3.637
_cell_angle_alpha 90.00
_cell_angle_beta 90.00
_cell_angle_gamma 90.00
_space_group_name_H-M_alt 'P 4/m m m'
_space_group_IT_number 123
_space_group_name_Hall '-P 4 2'
loop_
_atom_site_label
_atom_site_fract_x
_atom_site_fract_y
_atom_site_fract_z
B1 0.000 0.000 0.000
Pb1 0.000 0.500 0.000
W1 0.500 0.500 0.500
S1 0.000 0.000 0.500

No. 4
# TlHgIr3 PBE-GGA relaxed
# Polymorph energy (0 for the lowest one)   0 meV per atom
# Calculated formation energy   2.156 eV per atom
data_TlHgIr3
_cell_length_a 4.966
_cell_length_b 4.966
_cell_length_c 4.966
_cell_angle_alpha 90.00
_cell_angle_beta 90.00
_cell_angle_gamma 90.00
_space_group_name_H-M_alt 'P m -3 m'
_space_group_IT_number 221
_space_group_name_Hall '-P 4 2 3'
loop_
_atom_site_label
_atom_site_fract_x
_atom_site_fract_y
_atom_site_fract_z
Tl1 0.000 0.000 0.000
Hg1 0.500 0.500 0.500
Ir1 0.000 0.500 0.500

No. 5
# BaTl2RuBr PBE-GGA relaxed
# VASP energy   -3.92 eV per atom
data_BaTl2RuBr
_cell_length_a 5.292
_cell_length_b 5.292
_cell_length_c 5.912
_cell_angle_alpha 90.00
_cell_angle_beta 90.00
_cell_angle_gamma 90.00
_space_group_name_H-M_alt 'P 4/m m m'
_space_group_IT_number 123
_space_group_name_Hall '-P 4 2'
loop_
_atom_site_label
_atom_site_fract_x
_atom_site_fract_y
_atom_site_fract_z
Ba1 0.000 0.000 0.000
Tl1 0.000 0.500 0.500
Ru1 0.000 0.000 0.500
Br1 0.500 0.500 0.000

No. 6
# YRe2P4 PBE-GGA relaxed
# Calculated formation energy   -0.430 eV per atom
data_YRe2P4
_cell_length_a 8.441
_cell_length_b 8.441
_cell_length_c 3.327
_cell_angle_alpha 90.00
_cell_angle_beta 90.00
_cell_angle_gamma 90.00
_space_group_name_H-M_alt 'P 42/m n m'
_space_group_IT_number 136
_space_group_name_Hall '-P 4n 2n'
loop_
_atom_site_label
_atom_site_fract_x
_atom_site_fract_y
_atom_site_fract_z
Y1 0.000 0.000 0.000
Re1 0.230 0.230 0.500
P1 0.059 0.733 0.500

No. 7
# LiNb2Pd6 PBE-GGA relaxed
# Calculated formation energy   -0.252 eV per atom
data_LiNb2Pd6
_cell_length_a 13.627
_cell_length_b 7.553
_cell_length_c 2.780
_cell_angle_alpha 90.00
_cell_angle_beta 90.09
_cell_angle_gamma 90.00
_space_group_name_H-M_alt 'C 1 2/m 1'
_space_group_IT_number 12
loop_
_space_group_symop_operation_xyz
'x,y,z'
'-x,-y,-z'
'-x,y,-z'
'x,-y,z'
'x+1/2,y+1/2,z'
'-x+1/2,-y+1/2,-z'
'-x+1/2,y+1/2,-z'
'x+1/2,-y+1/2,z'
loop_
_atom_site_label
_atom_site_fract_x
_atom_site_fract_y
_atom_site_fract_z
Li1 0.000 0.000 0.000
Nb1 0.181 0.500 0.500
Pd1 0.000 0.320 0.500
Pd2 0.159 0.180 0.001

No. 8
# SiTc2Ir PBE-GGA relaxed
# VASP energy   -9.05 eV per atom
data_SiTc2Ir
_cell_length_a 2.863
_cell_length_b 2.863
_cell_length_c 6.723
_cell_angle_alpha 90.00
_cell_angle_beta 90.00
_cell_angle_gamma 90.00
_space_group_name_H-M_alt 'P 4/m m m'
_space_group_IT_number 123
_space_group_name_Hall '-P 4 2'
loop_
_atom_site_label
_atom_site_fract_x
_atom_site_fract_y
_atom_site_fract_z
Si1 0.000 0.000 0.000
Tc1 0.500 0.500 0.222
Ir1 0.000 0.000 0.500

No. 9
# RbTl2Ag PBE-GGA relaxed
# Polymorph energy (0 for the lowest one)   25 meV per atom
# Calculated formation energy   0.000 eV per atom
data_RbTl2Ag
_cell_length_a 5.1613
_cell_length_b 5.1613
_cell_length_c 19.1842
_cell_angle_alpha 90.00
_cell_angle_beta 90.00
_cell_angle_gamma 120.00
_space_group_name_H-M_alt 'R 3 m'
_space_group_IT_number 160
_space_group_name_Hall 'R 3 -2"'
loop_
_atom_site_label
_atom_site_fract_x
_atom_site_fract_y
_atom_site_fract_z
Rb1 0.0000 0.0000 0.0000
Tl1 0.0000 0.0000 0.2020
Tl2 0.0000 0.0000 0.4757
Ag1 0.0000 0.0000 0.8063

No. 10
# AlCoAu2 PBE-GGA relaxed
# Calculated formation energy   -0.100 eV per atom
data_AlCoAu2
_cell_length_a 9.434
_cell_length_b 2.952
_cell_length_c 4.638
_cell_angle_alpha 90.00
_cell_angle_beta 108.39
_cell_angle_gamma 90.00
_space_group_name_H-M_alt 'C 1 m 1'
_space_group_IT_number 8
loop_
_space_group_symop_operation_xyz
'x,y,z'
'x,-y,z'
'x+1/2,y+1/2,z'
'x+1/2,-y+1/2,z'
loop_
_atom_site_label
_atom_site_fract_x
_atom_site_fract_y
_atom_site_fract_z
Al1 0.000 0.000 0.000
Co1 0.289 0.000 0.722
Au1 0.033 0.500 0.527
Au2 0.250 0.500 0.195

No. 11
# AcLaNdPu PBE-GGA relaxed
# Calculated formation energy   0.263 eV per atom
data_AcLaNdPu
_cell_length_a 8.357
_cell_length_b 8.357
_cell_length_c 8.357
_cell_angle_alpha 90.00
_cell_angle_beta 90.00
_cell_angle_gamma 90.00
_space_group_name_H-M_alt 'F -4 3 m'
_space_group_IT_number 216
_space_group_name_Hall 'F -4 2 3'
loop_
_atom_site_label
_atom_site_fract_x
_atom_site_fract_y
_atom_site_fract_z
Ac1 0.000 0.000 0.000
La1 0.250 0.250 0.750
Nd1 0.250 0.250 0.250
Pu1 0.000 0.000 0.500

No. 12
# TbCdH8Ir2 PBE-GGA relaxed
# VASP energy   -4.32 eV per atom
data_TbCdH8Ir2
_cell_length_a 8.681
_cell_length_b 4.358
_cell_length_c 6.090
_cell_angle_alpha 90.00
_cell_angle_beta 109.81
_cell_angle_gamma 90.00
_space_group_name_H-M_alt 'C 1 2/m 1'
_space_group_IT_number 12
loop_
_space_group_symop_operation_xyz
'x,y,z'
'-x,-y,-z'
'-x,y,-z'
'x,-y,z'
'x+1/2,y+1/2,z'
'-x+1/2,-y+1/2,-z'
'-x+1/2,y+1/2,-z'
'x+1/2,-y+1/2,z'
loop_
_atom_site_label
_atom_site_fract_x
_atom_site_fract_y
_atom_site_fract_z
Tb1 0.000 0.000 0.000
Cd1 0.000 0.500 0.500
H1 0.087 0.500 0.147
H2 0.180 0.253 0.832
H3 0.207 0.000 0.375
Ir1 0.220 0.000 0.658

No. 13
# NaLa3Ce4Te8 PBE-GGA relaxed
# VASP energy   -5.49 eV per atom
data_NaLa3Ce4Te8
_cell_length_a 15.651
_cell_length_b 9.035
_cell_length_c 9.135
_cell_angle_alpha 90.00
_cell_angle_beta 124.83
_cell_angle_gamma 90.00
_space_group_name_H-M_alt 'C 1 2/m 1'
_space_group_IT_number 12
loop_
_space_group_symop_operation_xyz
'x,y,z'
'-x,-y,-z'
'-x,y,-z'
'x,-y,z'
'x+1/2,y+1/2,z'
'-x+1/2,-y+1/2,-z'
'-x+1/2,y+1/2,-z'
'x+1/2,-y+1/2,z'
loop_
_atom_site_label
_atom_site_fract_x
_atom_site_fract_y
_atom_site_fract_z
Na1 0.000 0.000 0.000
La1 0.000 0.500 0.000
La2 0.250 0.250 0.000
Ce1 0.000 0.000 0.500
Ce2 0.000 0.500 0.500
Ce3 0.250 0.250 0.500
Te1 0.002 0.247 0.252
Te2 0.248 0.000 0.745
Te3 0.249 0.000 0.252

No. 14
# NaAu5 PBE-GGA relaxed
# Polymorph energy (0 for the lowest one)   34 meV per atom
# Calculated formation energy   -0.092 eV per atom
data_NaAu5
_cell_length_a 4.901
_cell_length_b 9.190
_cell_length_c 4.950
_cell_angle_alpha 90.00
_cell_angle_beta 90.00
_cell_angle_gamma 90.00
_space_group_name_H-M_alt 'C m m m'
_space_group_IT_number 65
_space_group_name_Hall '-C 2 2'
loop_
_atom_site_label
_atom_site_fract_x
_atom_site_fract_y
_atom_site_fract_z
Na1 0.000 0.000 0.000
Au1 0.000 0.171 0.500
Au2 0.000 0.334 0.000
Au3 0.000 0.500 0.500

No. 15
# AsPb2N PBE-GGA relaxed
# Polymorph energy (0 for the lowest one)   394 meV per atom
data_AsPb2N
_cell_length_a 7.091
_cell_length_b 7.091
_cell_length_c 7.091
_cell_angle_alpha 90.00
_cell_angle_beta 90.00
_cell_angle_gamma 90.00
_space_group_name_H-M_alt 'F m -3 m'
_space_group_IT_number 225
_space_group_name_Hall '-F 4 2 3'
loop_
_atom_site_label
_atom_site_fract_x
_atom_site_fract_y
_atom_site_fract_z
As1 0.000 0.000 0.000
Pb1 0.250 0.250 0.250
N1 0.000 0.000 0.500

No. 16
# Ho8Te4S3N PBE-GGA relaxed
# VASP energy   -5.93 eV per atom
data_Ho8Te4S3N
_cell_length_a 7.9764
_cell_length_b 7.9764
_cell_length_c 20.6718
_cell_angle_alpha 90.00
_cell_angle_beta 90.00
_cell_angle_gamma 120.00
_space_group_name_H-M_alt 'R -3 m'
_space_group_IT_number 166
_space_group_name_Hall '-R 3 2"'
loop_
_atom_site_label
_atom_site_fract_x
_atom_site_fract_y
_atom_site_fract_z
Ho1 0.0000 0.0000 0.2343
Ho2 0.0256 0.5128 0.2311
Te1 0.0000 0.0000 0.0000
Te2 0.0000 0.5000 0.0000
S1 0.0000 0.5000 0.5000
N1 0.0000 0.0000 0.5000

No. 17
# Tb2Er6Tm3Th PBE-GGA relaxed
# Calculated formation energy   0.028 eV per atom
data_Tb2Er6Tm3Th
_cell_length_a 6.102
_cell_length_b 10.559
_cell_length_c 11.657
_cell_angle_alpha 90.00
_cell_angle_beta 100.05
_cell_angle_gamma 90.00
_space_group_name_H-M_alt 'C 1 2/m 1'
_space_group_IT_number 12
loop_
_space_group_symop_operation_xyz
'x,y,z'
'-x,-y,-z'
'-x,y,-z'
'x,-y,z'
'x+1/2,y+1/2,z'
'-x+1/2,-y+1/2,-z'
'-x+1/2,y+1/2,-z'
'x+1/2,-y+1/2,z'
loop_
_atom_site_label
_atom_site_fract_x
_atom_site_fract_y
_atom_site_fract_z
Tb1 0.000 0.167 0.000
Er1 0.245 0.500 0.749
Er2 0.250 0.165 0.749
Tm1 0.000 0.000 0.500
Tm2 0.000 0.333 0.500
Th1 0.000 0.500 0.000